An optimized crystal structure of CdSi2Au. Source: OQMD via LeMat-Bulk, functional PBE-GGA.

Cell: 4.7038 4.7038 4.7038 Å, 60.00 60.00 60.00°
Sites, in units of the cell vectors:
Au 0.2500 0.2500 0.2500
Si 0.0000 0.0000 0.0000
Cd 0.5000 0.5000 0.5000
Si 0.7500 0.7500 0.7500

space-group type: F-43m, No. 216
final energy: -13.3 eV for the cell shown